Th2CoNi2 | GGA-PBE | optimized geometry

Results
crystal system	monoclinic
uncorrected energy	-35.38	eV per formula unit
SG	C2/m (12)
formation enthalpy at 0 K	-1.874	eV per formula unit

a b c (Å): 3.787 5.594 9.954
angles (deg): 86.20 79.03 70.22
Sites, in units of the cell vectors:
Th 0.698 0.244 0.360
Th 0.917 0.277 0.890
Th 0.302 0.756 0.640
Th 0.083 0.723 0.110
Co 0.585 0.138 0.692
Co 0.415 0.862 0.308
Ni 0.039 0.336 0.586
Ni 0.640 0.827 0.893
Ni 0.961 0.664 0.414
Ni 0.360 0.173 0.107